## ScIr3S (meta-GGA SCAN)

Data for a crystal of ScIr3S relaxed with PBEsol.

Energy in Ry per atom: -3.3248
ΔE_f (raw) in meV/atom: 2196.0
Theoretical density in Mg/m³: 10.9

a = 4.642 Å, b = 4.642 Å, c = 4.642 Å
α = 90.00°, β = 90.00°, γ = 90.00°
Space group Pm-3m (No. 221)
Inequivalent atoms, fractional coordinates:
Sc1 0.000 0.000 0.000 x1
Ir1 0.000 0.000 0.500 x3
S1 0.500 0.500 0.500 x1

---

## AlMoRu (meta-GGA SCAN)

Data for a crystal of AlMoRu relaxed with PBEsol.

Energy in Ry per atom: -1.9064
Theoretical density in Mg/m³: 7.5

a = 5.843 Å, b = 5.843 Å, c = 5.843 Å
α = 90.00°, β = 90.00°, γ = 90.00°
Space group F-43m (No. 216)
Inequivalent atoms, fractional coordinates:
Al1 0.000 0.000 0.000 x4
Mo1 0.000 0.000 0.500 x4
Ru1 0.250 0.250 0.250 x4

---

Look up the theoretical density of the first one.
10.9 Mg/m³